# PBE NbAu, optimized geometry
data_NbAu
_chemical_formula_sum 'Nb8 Au8'
_cell_length_a 8.318
_cell_length_b 8.318
_cell_length_c 8.318
_cell_angle_alpha 90.00
_cell_angle_beta 90.00
_cell_angle_gamma 90.00
_symmetry_space_group_name_H-M 'I -4 3 m'
_symmetry_Int_Tables_number 217
_symmetry_space_group_name_Hall 'I -4 2 3'
loop_
_atom_site_label
_atom_site_fract_x
_atom_site_fract_y
_atom_site_fract_z
Nb1 0.115 0.115 0.115
Au1 0.198 0.198 0.802
# VASP energy (eV/atom): -5.67
# Crystal system: cubic
# Density (g cm⁻³): 6.69
# Energy of formation from the pure elements (eV per atom): 1.000
# Magnetic moment (μB per formula unit): 0.00

# PBE Nb3Au, optimized geometry
data_Nb3Au
_chemical_formula_sum 'Nb12 Au4'
_cell_length_a 6.614
_cell_length_b 6.614
_cell_length_c 6.614
_cell_angle_alpha 90.00
_cell_angle_beta 90.00
_cell_angle_gamma 90.00
_symmetry_space_group_name_H-M 'F m -3 m'
_symmetry_Int_Tables_number 225
_symmetry_space_group_name_Hall '-F 4 2 3'
loop_
_atom_site_label
_atom_site_fract_x
_atom_site_fract_y
_atom_site_fract_z
Nb1 0.000 0.000 0.000
Nb2 0.250 0.250 0.250
Au1 0.000 0.000 0.500
# Polymorph energy (0 for the lowest one) (eV/atom): 0.139
# VASP energy (eV/atom): -8.33
# Crystal system: cubic
# Density (g cm⁻³): 10.92
# Energy of formation from the pure elements (eV per atom): 0.044
# Magnetic moment (μB per formula unit): 0.00

# PBE Nb2Au, optimized geometry
data_Nb2Au
_chemical_formula_sum 'Nb4 Au2'
_cell_length_a 3.395
_cell_length_b 3.395
_cell_length_c 9.437
_cell_angle_alpha 90.00
_cell_angle_beta 90.00
_cell_angle_gamma 90.00
_symmetry_space_group_name_H-M 'P 4/n m m'
_symmetry_Int_Tables_number 129
loop_
_symmetry_equiv_pos_as_xyz
'x,y,z'
'-x,-y,-z'
'-y+1/2,x,z'
'y+1/2,-x,-z'
'-x+1/2,-y+1/2,z'
'x+1/2,y+1/2,-z'
'y,-x+1/2,z'
'-y,x+1/2,-z'
'x+1/2,-y,-z'
'-x+1/2,y,z'
'-y,-x,-z'
'y,x,z'
'-x,y+1/2,-z'
'x,-y+1/2,z'
'y+1/2,x+1/2,-z'
'-y+1/2,-x+1/2,z'
loop_
_atom_site_label
_atom_site_fract_x
_atom_site_fract_y
_atom_site_fract_z
Nb1 0.250 0.250 0.085
Nb2 0.250 0.250 0.746
Au1 0.250 0.250 0.415
# VASP energy (eV/atom): -7.92
# Crystal system: tetragonal
# Density (g cm⁻³): 11.69
# Energy of formation from the pure elements (eV per atom): -0.116
# Magnetic moment (μB per formula unit): 0.00

# PBE NbAu, optimized geometry
data_NbAu
_chemical_formula_sum 'Nb6 Au6'
_cell_length_a 2.803
_cell_length_b 14.771
_cell_length_c 5.231
_cell_angle_alpha 90.00
_cell_angle_beta 90.00
_cell_angle_gamma 90.00
_symmetry_space_group_name_H-M 'A m m 2'
_symmetry_Int_Tables_number 38
loop_
_symmetry_equiv_pos_as_xyz
'x,y,z'
'-x,-y,z'
'-x,y,z'
'x,-y,z'
'x,y+1/2,z+1/2'
'-x,-y+1/2,z+1/2'
'-x,y+1/2,z+1/2'
'x,-y+1/2,z+1/2'
loop_
_atom_site_label
_atom_site_fract_x
_atom_site_fract_y
_atom_site_fract_z
Nb1 0.000 0.000 0.000
Nb2 0.500 0.165 0.196
Au1 0.000 0.165 0.687
Au2 0.500 0.000 0.500
# VASP energy (eV/atom): -6.68
# Crystal system: orthorhombic
# Density (g cm⁻³): 13.34
# Energy of formation from the pure elements (eV per atom): -0.004
# Magnetic moment (μB per formula unit): 0.00